An optimized crystal structure of Ca2Pa2Pt15, computed with GGA-PBE.

Results
Energy relative to the elements in kJ/mol of atoms: -59
Total energy in eV per cell: -125.13
Total magnetization in μB/f.u.: 0.48

Lattice parameters (Å, degrees): 7.139 7.139 7.139 81.87 81.87 81.87
Fractional positions:
1 Ca 0.136 0.136 0.136
2 Ca 0.864 0.864 0.864
3 Pa 0.396 0.396 0.396
4 Pa 0.604 0.604 0.604
5 Pt 0.000 0.500 0.500
6 Pt 0.154 0.154 0.655
7 Pt 0.154 0.655 0.154
8 Pt 0.193 0.500 0.807
9 Pt 0.193 0.807 0.500
10 Pt 0.345 0.846 0.846
11 Pt 0.500 0.000 0.500
12 Pt 0.500 0.193 0.807
13 Pt 0.500 0.500 0.000
14 Pt 0.500 0.807 0.193
15 Pt 0.655 0.154 0.154
16 Pt 0.807 0.193 0.500
17 Pt 0.807 0.500 0.193
18 Pt 0.846 0.345 0.846
19 Pt 0.846 0.846 0.345